! Be2TlNi2 | the Alexandria database | GGA-PBE | relaxed; values from VASP
&SYSTEM
  ibrav = 0, nat = 10, ntyp = 3
/
ATOMIC_SPECIES
Be 9.01 Be.upf
Tl 204.38 Tl.upf
Ni 58.69 Ni.upf
CELL_PARAMETERS angstrom
6.515 0.000 0.000
0.000 6.515 0.000
0.000 0.000 2.816
ATOMIC_POSITIONS angstrom
Be 0.780 2.478 0.000
Be 2.478 5.735 0.000
Be 4.037 0.780 0.000
Be 5.735 4.037 0.000
Tl 0.000 0.000 0.000
Tl 3.258 3.258 0.000
Ni 1.004 4.261 1.408
Ni 2.254 1.004 1.408
Ni 4.261 5.511 1.408
Ni 5.511 2.254 1.408
! - energy above the most stable polymorph in this dataset (meV per atom) = 0
! - space-group type = No. 127
! - DFT formation energy (eV/f.u.) = 0.20
! - V (Å³ per cell) = 119.52